1.
# Mg2Ga5Ru2Rh | Alexandria via LeMat-Bulk | PBE | relaxed
data_Mg2Ga5Ru2Rh
_space_group_name_H-M_alt 'P 4/m b m'
_space_group_IT_number 127
_space_group_name_Hall '-P 4 2ab'
_cell_length_a 10.501
_cell_length_b 10.501
_cell_length_c 3.049
_cell_angle_alpha 90.00
_cell_angle_beta 90.00
_cell_angle_gamma 90.00
loop_
_atom_site_label
_atom_site_type_symbol
_atom_site_fract_x
_atom_site_fract_y
_atom_site_fract_z
Mg1 Mg 0.171 0.329 0.000
Ga1 Ga 0.000 0.500 0.500
Ga2 Ga 0.064 0.812 0.500
Ru1 Ru 0.136 0.636 0.000
Rh1 Rh 0.000 0.000 0.000
# Formation energy from the elements (eV/atom): -0.312
# Theoretical density (Mg/m³): 6.9
# VASP energy (eV per atom): -4.735

***

2.
# MgGaRuRh | Alexandria via LeMat-Bulk | PBE | relaxed
data_MgGaRuRh
_space_group_name_H-M_alt 'F -4 3 m'
_space_group_IT_number 216
_space_group_name_Hall 'F -4 2 3'
_cell_length_a 6.127
_cell_length_b 6.127
_cell_length_c 6.127
_cell_angle_alpha 90.00
_cell_angle_beta 90.00
_cell_angle_gamma 90.00
loop_
_atom_site_label
_atom_site_type_symbol
_atom_site_fract_x
_atom_site_fract_y
_atom_site_fract_z
Mg1 Mg 0.000 0.000 0.000
Ga1 Ga 0.000 0.000 0.500
Ru1 Ru 0.250 0.250 0.750
Rh1 Rh 0.250 0.250 0.250
# Formation energy from the elements (eV/atom): -0.382
# Theoretical density (Mg/m³): 8.6
# VASP energy (eV per atom): -5.694

***

3.
# MgSc4GaRh2 | Alexandria via LeMat-Bulk | PBE | relaxed
data_MgSc4GaRh2
_space_group_name_H-M_alt 'R -3 m'
_space_group_IT_number 166
_space_group_name_Hall '-R 3 2"'
_cell_length_a 4.7019
_cell_length_b 4.7019
_cell_length_c 23.2065
_cell_angle_alpha 90.00
_cell_angle_beta 90.00
_cell_angle_gamma 120.00
loop_
_atom_site_label
_atom_site_type_symbol
_atom_site_fract_x
_atom_site_fract_y
_atom_site_fract_z
Mg1 Mg 0.0000 0.0000 0.0000
Sc1 Sc 0.0000 0.0000 0.1274
Sc2 Sc 0.0000 0.0000 0.3777
Ga1 Ga 0.0000 0.0000 0.5000
Rh1 Rh 0.0000 0.0000 0.2537
# Formation energy from the elements (eV/atom): -0.637
# Theoretical density (Mg/m³): 5.4
# VASP energy (eV per atom): -6.218

***

4.
# MgSc4Ga2Rh | Alexandria via LeMat-Bulk | PBE | relaxed
data_MgSc4Ga2Rh
_space_group_name_H-M_alt 'R -3 m'
_space_group_IT_number 166
_space_group_name_Hall '-R 3 2"'
_cell_length_a 4.7730
_cell_length_b 4.7730
_cell_length_c 23.3228
_cell_angle_alpha 90.00
_cell_angle_beta 90.00
_cell_angle_gamma 120.00
loop_
_atom_site_label
_atom_site_type_symbol
_atom_site_fract_x
_atom_site_fract_y
_atom_site_fract_z
Mg1 Mg 0.0000 0.0000 0.0000
Sc1 Sc 0.0000 0.0000 0.1316
Sc2 Sc 0.0000 0.0000 0.3849
Ga1 Ga 0.0000 0.0000 0.2581
Rh1 Rh 0.0000 0.0000 0.5000
# Formation energy from the elements (eV/atom): -0.585
# Theoretical density (Mg/m³): 4.8
# VASP energy (eV per atom): -5.626